The following is a DFT calculation (GGA-PBE) of a relaxed structure of Pa2Ga4CuPt3.

```
10
Lattice="4.058 0.000 0.000 0.000 4.058 0.000 0.000 0.000 11.134" Properties=species:S:1:pos:R:3 pbc="T T T"
Pa 0.000 2.029 2.778
Pa 2.029 0.000 8.356
Ga 0.000 0.000 0.000
Ga 0.000 2.029 6.994
Ga 2.029 0.000 4.140
Ga 2.029 2.029 0.000
Cu 0.000 0.000 5.567
Pt 0.000 2.029 9.464
Pt 2.029 0.000 1.670
Pt 2.029 2.029 5.567
```

Output
As for the total DFT energy (no corrections): -6.003 eV/atom. The calculation puts the energy of formation from the pure elements at -0.6715 eV per atom.